(1)
The following is a GGA-PBE calculation of a geometry-optimized BaSr4Tl2 structure, from Alexandria.

Calculated values
Distance to the lowest polymorph of the same formula = 0.000 eV/atom

a = 7.542 Å, b = 9.689 Å, c = 9.352 Å
α = 111.45°, β = 90.00°, γ = 90.00°
Element x y z (fractional)
1 Ba 0.250 0.853 0.992
2 Ba 0.750 0.147 0.008
3 Sr 0.501 0.424 0.763
4 Sr 0.750 0.017 0.391
5 Sr 0.499 0.576 0.237
6 Sr 0.001 0.576 0.237
7 Sr 0.250 0.261 0.340
8 Sr 0.750 0.739 0.660
9 Sr 0.999 0.424 0.763
10 Sr 0.250 0.983 0.609
11 Tl 0.250 0.624 0.578
12 Tl 0.750 0.376 0.422
13 Tl 0.750 0.743 0.029
14 Tl 0.250 0.257 0.971

(2)
The following is a GGA-PBE calculation of a geometry-optimized CrIn3Cl structure, from Alexandria.

Calculated values
Distance to the lowest polymorph of the same formula = 0.411 eV/atom

a = 5.573 Å, b = 5.573 Å, c = 5.573 Å
α = 90.00°, β = 90.00°, γ = 90.00°
Site moments in Bohr magnetons follow the coordinates.
Element x y z (fractional)
1 Cr 0.500 0.500 0.500  4.22
2 In 0.500 0.000 0.000  -0.02
3 In 0.000 0.500 0.000  -0.02
4 In 0.000 0.000 0.500  0.00
5 Cl 0.000 0.000 0.000  0.00

(3)
The following is a GGA-PBE calculation of a geometry-optimized LiSi2Ag structure, from Alexandria.

Calculated values
Distance to the lowest polymorph of the same formula = 0.016 eV/atom

a = 3.814 Å, b = 3.814 Å, c = 4.167 Å
α = 90.00°, β = 90.00°, γ = 90.00°
Element x y z (fractional)
1 Si 0.500 0.500 0.000
2 Si 0.000 0.000 0.000
3 Li 0.000 0.500 0.500
4 Ag 0.500 0.000 0.500